Material: KRb4V3F12
Method: DFT, PBE+U
State: optimized geometry

Cell and atoms, written as POSCAR:
```
KRb4V3F12
1.0
7.595 0.000 0.000
-2.532 7.160 0.000
-2.532 -3.580 6.201
Rb V F K
4 3 12 1
direct
0.000 0.000 0.500
0.500 0.000 0.000
0.500 0.500 0.500
0.000 0.500 0.000
0.500 0.500 0.000
0.500 0.000 0.500
0.000 0.500 0.500
0.750 0.500 0.250
0.724 0.000 0.724
0.500 0.250 0.750
0.724 0.724 0.000
0.500 0.750 0.250
0.276 0.276 0.000
0.250 0.750 0.500
0.000 0.724 0.724
0.250 0.500 0.750
0.276 0.000 0.276
0.750 0.250 0.500
0.000 0.276 0.276
0.000 0.000 0.000
```

Calculated values
- Density of states at the Fermi level: 1.05 states/eV/atom
- Electronic total energy: -5.25 eV per atom
- Volume: 16.86 Å³/atom